(1)
{"formula": "LaGe2S2", "functional": "PBE-GGA", "state": "relaxed", "cell": [[7.744, 0.000, 0.000], [0.000, 7.744, 0.000], [0.000, 0.000, 3.752]], "species": ["La", "La", "Ge", "Ge", "Ge", "Ge", "S", "S", "S", "S"], "fractional_positions": [[0.000, 0.000, 0.000], [0.500, 0.500, 0.000], [0.125, 0.375, 0.000], [0.375, 0.875, 0.000], [0.625, 0.125, 0.000], [0.875, 0.625, 0.000], [0.227, 0.727, 0.500], [0.273, 0.227, 0.500], [0.727, 0.773, 0.500], [0.773, 0.273, 0.500]], "vol_a3_per_cell": 225.05, "raw_formation_energy_ev_per_atom": -0.521, "spacegroup": "P4/mbm", "crystal_system": "tetragonal"}

***

(2)
{"formula": "La2GeS3", "functional": "PBE-GGA", "state": "relaxed", "cell": [[-1.906, 2.467, 7.756], [1.906, -2.467, 7.756], [1.906, 2.467, -7.756]], "species": ["La", "La", "Ge", "S", "S", "S"], "fractional_positions": [[0.142, 0.142, 0.000], [0.858, 0.858, 0.000], [0.500, 0.500, 0.000], [0.000, 0.500, 0.500], [0.327, 0.327, 0.000], [0.673, 0.673, 0.000]], "vol_a3_per_cell": 145.86, "raw_formation_energy_ev_per_atom": -1.481, "spacegroup": "Immm", "crystal_system": "orthorhombic"}

***

(3)
{"formula": "LaGe3S", "functional": "PBE-GGA", "state": "relaxed", "cell": [[4.944, 0.000, 0.000], [0.000, 4.944, 0.000], [0.000, 0.000, 4.944]], "species": ["La", "Ge", "Ge", "Ge", "S"], "fractional_positions": [[0.000, 0.000, 0.000], [0.000, 0.500, 0.500], [0.500, 0.000, 0.500], [0.500, 0.500, 0.000], [0.500, 0.500, 0.500]], "vol_a3_per_cell": 120.88, "raw_formation_energy_ev_per_atom": -0.023, "e_above_lowest_polymorph_mev_per_atom": 0, "spacegroup": "Pm-3m", "crystal_system": "cubic"}

***

(4)
{"formula": "LaGe2S4", "functional": "PBE-GGA", "state": "relaxed", "cell": [[-3.783, 3.783, 3.240], [3.783, -3.783, 3.240], [3.783, 3.783, -3.240]], "species": ["La", "Ge", "Ge", "S", "S", "S", "S"], "fractional_positions": [[0.000, 0.000, 0.000], [0.250, 0.750, 0.500], [0.750, 0.250, 0.500], [0.185, 0.328, 0.513], [0.328, 0.815, 0.143], [0.672, 0.185, 0.857], [0.815, 0.672, 0.487]], "vol_a3_per_cell": 185.47, "raw_formation_energy_ev_per_atom": -0.600, "spacegroup": "I4/m", "crystal_system": "tetragonal"}

***

(5)
{"formula": "La3GeS2", "functional": "PBE-GGA", "state": "relaxed", "cell": [[-2.145, 3.005, 6.356], [2.145, -3.005, 6.356], [2.145, 3.005, -6.356]], "species": ["La", "La", "La", "Ge", "S", "S"], "fractional_positions": [[0.000, 0.000, 0.000], [0.331, 0.331, 0.000], [0.669, 0.669, 0.000], [0.500, 0.000, 0.500], [0.165, 0.665, 0.500], [0.835, 0.335, 0.500]], "vol_a3_per_cell": 163.84, "raw_formation_energy_ev_per_atom": -1.759, "spacegroup": "Immm", "crystal_system": "orthorhombic"}

***

(6)
{"formula": "La2GeS", "functional": "PBE-GGA", "state": "relaxed", "cell": [[2.124, 1.226, 7.391], [-2.124, 1.226, 7.391], [0.000, -2.452, 7.391]], "species": ["La", "La", "Ge", "S"], "fractional_positions": [[0.000, 0.000, 0.000], [0.173, 0.173, 0.173], [0.587, 0.587, 0.587], [0.756, 0.756, 0.756]], "vol_a3_per_cell": 115.46, "raw_formation_energy_ev_per_atom": -1.370, "e_above_lowest_polymorph_mev_per_atom": 157, "spacegroup": "R3m", "crystal_system": "trigonal"}

***

no.,total magnetic moment (Bohr magnetons per cell)
1,0.00
2,0.00
3,0.00
4,0.00
5,0.00
6,0.00